<one>
Here is a geometry-optimized InCI2 structure from Alexandria via LeMat-Bulk. Energies are from PBE.

Lattice parameters (Å, degrees): 9.339 3.823 6.616 90.00 102.84 90.00
Fractional positions:
I 0.848 0.000 0.666
I 0.848 0.500 0.166
I 0.233 0.000 0.140
I 0.233 0.500 0.640
C 0.469 0.000 0.213
C 0.469 0.500 0.713
In 0.539 0.000 0.569
In 0.539 0.500 0.069

Calculated values
- Crystal system: monoclinic
- D(E_F): 2.27 states/eV/f.u.
- Space-group type: Cm

<two>
Here is a geometry-optimized InCI2 structure from Alexandria via LeMat-Bulk. Energies are from PBE.

Lattice parameters (Å, degrees): 8.778 3.879 6.597 90.00 90.39 90.00
Fractional positions:
I 0.182 0.000 0.036
I 0.182 0.500 0.536
I 0.766 0.000 0.378
I 0.766 0.500 0.878
C 0.526 0.000 0.376
C 0.526 0.500 0.876
In 0.437 0.000 0.711
In 0.437 0.500 0.211

Calculated values
- Crystal system: monoclinic
- D(E_F): 1.95 states/eV/f.u.
- Space-group type: Cm

The structure with the greatest stability is <one>.

<one>
Here is a geometry-optimized InCI2 structure from Alexandria via LeMat-Bulk. Energies are from PBE.

Lattice parameters (Å, degrees): 3.999 3.994 8.763 91.84 91.12 93.02
Fractional positions:
I 0.610 0.919 0.213
I 0.083 0.375 0.629
C 0.096 0.394 0.867
In 0.601 0.401 0.969

Calculated values
- Crystal system: triclinic
- D(E_F): 1.68 states/eV/f.u.
- Space-group type: P1

<two>
Here is a geometry-optimized InCI2 structure from Alexandria via LeMat-Bulk. Energies are from PBE.

Lattice parameters (Å, degrees): 4.362 4.011 7.989 90.00 102.69 90.00
Fractional positions:
I 0.267 0.500 0.191
I 0.535 0.000 0.710
C 0.900 0.000 0.565
In 0.887 0.500 0.445

Calculated values
- Crystal system: monoclinic
- D(E_F): 1.49 states/eV/f.u.
- Space-group type: Pm

<three>
Here is a geometry-optimized InCI2 structure from Alexandria via LeMat-Bulk. Energies are from PBE.

Lattice parameters (Å, degrees): 5.445 5.445 5.445 60.00 60.00 60.00
Fractional positions:
I 0.250 0.250 0.250
I 0.750 0.750 0.750
C 0.000 0.000 0.000
In 0.500 0.500 0.500

Calculated values
- Crystal system: cubic
- D(E_F): 3.03 states/eV/f.u.
- Space-group type: Fm-3m

The structure with the greatest stability is <two>.

<one>
Here is a geometry-optimized InCI3 structure from Alexandria via LeMat-Bulk. Energies are from PBE.

Lattice parameters (Å, degrees): 5.279 5.279 5.279 90.00 90.00 90.00
Fractional positions:
I 0.000 0.500 0.000
I 0.000 0.000 0.500
I 0.500 0.000 0.000
C 0.000 0.000 0.000
In 0.500 0.500 0.500

Calculated values
- Crystal system: cubic
- D(E_F): 0.62 states/eV/f.u.
- Space-group type: Pm-3m

<two>
Here is a geometry-optimized InCI3 structure from Alexandria via LeMat-Bulk. Energies are from PBE.

Lattice parameters (Å, degrees): 5.926 5.926 5.926 90.00 90.00 90.00
Fractional positions:
I 0.000 0.500 0.000
I 0.000 0.000 0.500
I 0.500 0.000 0.000
C 0.500 0.500 0.500
In 0.000 0.000 0.000

Calculated values
- Crystal system: cubic
- D(E_F): 12.54 states/eV/f.u.
- Space-group type: Pm-3m

The structure with the greatest stability is <one>.

<one>
Here is a geometry-optimized In3CI structure from Alexandria via LeMat-Bulk. Energies are from PBE.

Lattice parameters (Å, degrees): 5.106 5.106 5.106 90.00 90.00 90.00
Fractional positions:
I 0.500 0.500 0.500
C 0.000 0.000 0.000
In 0.000 0.500 0.000
In 0.000 0.000 0.500
In 0.500 0.000 0.000

Calculated values
- Crystal system: cubic
- D(E_F): 1.91 states/eV/f.u.
- Space-group type: Pm-3m

<two>
Here is a geometry-optimized In3CI structure from Alexandria via LeMat-Bulk. Energies are from PBE.

Lattice parameters (Å, degrees): 6.445 6.445 6.445 90.00 90.00 90.00
Fractional positions:
I 0.000 0.000 0.000
C 0.500 0.500 0.500
In 0.000 0.500 0.000
In 0.000 0.000 0.500
In 0.500 0.000 0.000

Calculated values
- Crystal system: cubic
- D(E_F): 2.81 states/eV/f.u.
- Space-group type: Pm-3m

The structure with the greatest stability is <one>.

<one>
Here is a geometry-optimized InC3I structure from Alexandria via LeMat-Bulk. Energies are from PBE.

Lattice parameters (Å, degrees): 4.235 4.235 4.235 90.00 90.00 90.00
Fractional positions:
I 0.000 0.000 0.000
C 0.000 0.500 0.000
C 0.000 0.000 0.500
C 0.500 0.000 0.000
In 0.500 0.500 0.500

Calculated values
- Crystal system: cubic
- D(E_F): 4.67 states/eV/f.u.
- Space-group type: Pm-3m

<two>
Here is a geometry-optimized InC3I structure from Alexandria via LeMat-Bulk. Energies are from PBE.

Lattice parameters (Å, degrees): 4.478 4.478 4.478 90.00 90.00 90.00
Fractional positions:
I 0.500 0.500 0.500
C 0.000 0.500 0.000
C 0.000 0.000 0.500
C 0.500 0.000 0.000
In 0.000 0.000 0.000

Calculated values
- Crystal system: cubic
- D(E_F): 3.77 states/eV/f.u.
- Space-group type: Pm-3m

The structure with the greatest stability is <two>.

<one>
Here is a geometry-optimized InC2I structure from Alexandria via LeMat-Bulk. Energies are from PBE.

Lattice parameters (Å, degrees): 4.486 4.486 4.486 60.00 60.00 60.00
Fractional positions:
I 0.500 0.500 0.500
C 0.250 0.250 0.250
C 0.750 0.750 0.750
In 0.000 0.000 0.000

Calculated values
- Crystal system: cubic
- D(E_F): 2.22 states/eV/f.u.
- Space-group type: Fm-3m

<two>
Here is a geometry-optimized InC2I structure from Alexandria via LeMat-Bulk. Energies are from PBE.

Lattice parameters (Å, degrees): 5.114 5.114 6.812 67.95 67.95 90.00
Fractional positions:
I 0.000 0.000 0.000
I 0.750 0.250 0.500
C 0.621 0.125 0.250
C 0.129 0.625 0.250
C 0.375 0.379 0.750
C 0.875 0.871 0.750
In 0.500 0.500 0.000
In 0.250 0.750 0.500

Calculated values
- Crystal system: tetragonal
- D(E_F): 2.62 states/eV/f.u.
- Space-group type: I-42d

The structure with the greatest stability is <two>.